# 1
The following is a GGA-PBE calculation of a relaxed ErLuInRh crystal, from Alexandria.

The magnetic moment comes out at 0.00 μB/f.u. The calculation puts the density of states at the Fermi level at 6.180 states/eV per cell. As for the energy relative to the elements: -598 meV per atom.

It has space group F-43m (No. 216), with a = 7.101 Å, b = 7.101 Å, c = 7.101 Å, α = 90.00°, β = 90.00° and γ = 90.00°. The inequivalent atoms are Er at (0.000, 0.000, 0.000), Lu at (0.000, 0.000, 0.500), In at (0.250, 0.250, 0.250) and Rh at (0.250, 0.250, 0.750).

=====

# 2
The following is a GGA-PBE calculation of a relaxed ErLuScIn crystal, from Alexandria.

The magnetic moment comes out at 0.34 μB/f.u. The calculation puts the density of states at the Fermi level at 22.947 states/eV per cell. As for the energy relative to the elements: -137 meV per atom.

It has space group F-43m (No. 216), with a = 7.474 Å, b = 7.474 Å, c = 7.474 Å, α = 90.00°, β = 90.00° and γ = 90.00°. The inequivalent atoms are Er at (0.000, 0.000, 0.000), Lu at (0.000, 0.000, 0.500), Sc at (0.250, 0.250, 0.250) and In at (0.250, 0.250, 0.750).

=====

Question: Which of these has the highest energy relative to the elements?
Answer: ErLuScIn